# 1
Sr2SbSO: optimized geometry, GGA-PBE.

```
data_Sr2SbSO
_cell_length_a 5.156
_cell_length_b 5.156
_cell_length_c 4.572
_cell_angle_alpha 90.00
_cell_angle_beta 90.00
_cell_angle_gamma 90.00
_space_group_name_H-M_alt 'P 4/m m m'
_space_group_IT_number 123
_space_group_name_Hall '-P 4 2'
loop_
_atom_site_label
_atom_site_type_symbol
_atom_site_fract_x
_atom_site_fract_y
_atom_site_fract_z
_atom_site_occupancy
Sr1 Sr 0.000 0.500 0.000 1
Sb1 Sb 0.000 0.000 0.500 1
S1 S 0.500 0.500 0.500 1
O1 O 0.500 0.500 0.000 1
```

Output
ΔE_f (raw) in kJ/mol of atoms: -109.1
Size of the total moment in μB/f.u.: 0.0
Energy above the lowest structure with this stoichiometry in eV per atom: 0.000

# 2
Fe2Se2Br: optimized geometry, GGA-PBE.

```
data_Fe2Se2Br
_cell_length_a 7.306
_cell_length_b 7.306
_cell_length_c 3.111
_cell_angle_alpha 90.00
_cell_angle_beta 90.00
_cell_angle_gamma 90.00
_space_group_name_H-M_alt 'P 4/m b m'
_space_group_IT_number 127
_space_group_name_Hall '-P 4 2ab'
loop_
_atom_site_label
_atom_site_type_symbol
_atom_site_fract_x
_atom_site_fract_y
_atom_site_fract_z
_atom_site_occupancy
Fe1 Fe 0.123 0.377 0.000 1
Se1 Se 0.136 0.636 0.500 1
Br1 Br 0.000 0.000 0.000 1
```

Output
ΔE_f (raw) in kJ/mol of atoms: 31.1
Size of the total moment in μB/f.u.: 0.0
Energy above the lowest structure with this stoichiometry in eV per atom: 0.000

# 3
BaY2Si: optimized geometry, GGA-PBE.

```
data_BaY2Si
_cell_length_a 4.089
_cell_length_b 4.986
_cell_length_c 12.230
_cell_angle_alpha 90.00
_cell_angle_beta 90.00
_cell_angle_gamma 90.00
_space_group_name_H-M_alt 'I m m 2'
_space_group_IT_number 44
loop_
_space_group_symop_operation_xyz
'x,y,z'
'-x,-y,z'
'-x,y,z'
'x,-y,z'
'x+1/2,y+1/2,z+1/2'
'-x+1/2,-y+1/2,z+1/2'
'-x+1/2,y+1/2,z+1/2'
'x+1/2,-y+1/2,z+1/2'
loop_
_atom_site_label
_atom_site_type_symbol
_atom_site_fract_x
_atom_site_fract_y
_atom_site_fract_z
_atom_site_occupancy
Ba1 Ba 0.000 0.000 0.000 1
Y1 Y 0.000 0.000 0.604 1
Y2 Y 0.000 0.500 0.796 1
Si1 Si 0.000 0.500 0.266 1
```

Output
ΔE_f (raw) in kJ/mol of atoms: -6.7
Size of the total moment in μB/f.u.: 0.0

# 4
InGe3I: optimized geometry, GGA-PBE.

```
data_InGe3I
_cell_length_a 5.429
_cell_length_b 5.429
_cell_length_c 5.429
_cell_angle_alpha 90.00
_cell_angle_beta 90.00
_cell_angle_gamma 90.00
_space_group_name_H-M_alt 'P m -3 m'
_space_group_IT_number 221
_space_group_name_Hall '-P 4 2 3'
loop_
_atom_site_label
_atom_site_type_symbol
_atom_site_fract_x
_atom_site_fract_y
_atom_site_fract_z
_atom_site_occupancy
In1 In 0.000 0.000 0.000 1
Ge1 Ge 0.000 0.000 0.500 1
I1 I 0.500 0.500 0.500 1
```

Output
ΔE_f (raw) in kJ/mol of atoms: 76.9
Size of the total moment in μB/f.u.: 0.0
Energy above the lowest structure with this stoichiometry in eV per atom: 0.000

# 5
Zn2HgGe: optimized geometry, GGA-PBE.

```
data_Zn2HgGe
_cell_length_a 3.7174
_cell_length_b 3.7174
_cell_length_c 20.4044
_cell_angle_alpha 90.00
_cell_angle_beta 90.00
_cell_angle_gamma 120.00
_space_group_name_H-M_alt 'R -3 m'
_space_group_IT_number 166
_space_group_name_Hall '-R 3 2"'
loop_
_atom_site_label
_atom_site_type_symbol
_atom_site_fract_x
_atom_site_fract_y
_atom_site_fract_z
_atom_site_occupancy
Zn1 Zn 0.0000 0.0000 0.2418 1
Hg1 Hg 0.0000 0.0000 0.0000 1
Ge1 Ge 0.0000 0.0000 0.5000 1
```

Output
Size of the total moment in μB/f.u.: 0.0
Energy above the lowest structure with this stoichiometry in eV per atom: 0.000
Energy of formation in eV per atom: 0.1859

# 6
K3LaNi: optimized geometry, GGA-PBE.

```
data_K3LaNi
_cell_length_a 5.906
_cell_length_b 5.906
_cell_length_c 5.906
_cell_angle_alpha 90.00
_cell_angle_beta 90.00
_cell_angle_gamma 90.00
_space_group_name_H-M_alt 'P m -3 m'
_space_group_IT_number 221
_space_group_name_Hall '-P 4 2 3'
loop_
_atom_site_label
_atom_site_type_symbol
_atom_site_fract_x
_atom_site_fract_y
_atom_site_fract_z
_atom_site_occupancy
K1 K 0.000 0.000 0.500 1
La1 La 0.000 0.000 0.000 1
Ni1 Ni 0.500 0.500 0.500 1
```

Output
Size of the total moment in μB/f.u.: 3.9
Energy of formation in eV per atom: 1.7208

Q: The highest size of the total moment belongs to which entry?
A: K3LaNi

Q: Which formula does entry 2 have?
A: Fe2Se2Br